No. 1
24
Lattice="0.0000 6.7286 6.7286 6.7286 0.0000 6.7286 6.7286 6.7286 0.0000" Properties=species:S:1:pos:R:3 comment="Tb4ZnRh PBE-GGA relaxed" dos_at_fermi_per_ev_atom=0.532 space_group=F-43m e_tot_ev_per_cell=-119.62 m_tot_mub_per_cell=0.00 pbc="T T T"
Tb 6.7286 6.7286 2.5027
Tb 6.7286 2.5027 6.7286
Tb 10.9544 6.7286 6.7286
Tb 5.3308 5.3308 5.3308
Tb 8.1264 8.1264 5.3308
Tb 8.1264 5.3308 8.1264
Tb 10.0929 10.0929 7.5204
Tb 10.0929 7.5204 10.0929
Tb 12.6653 10.0929 10.0929
Tb 5.3308 8.1264 8.1264
Tb 2.5027 6.7286 6.7286
Tb 6.7286 10.9544 6.7286
Tb 6.7286 6.7286 10.9544
Tb 7.5204 10.0929 10.0929
Tb 10.0929 12.6653 10.0929
Tb 10.0929 10.0929 12.6653
Zn 2.2992 2.2992 2.2992
Zn 4.4294 4.4294 2.2992
Zn 4.4294 2.2992 4.4294
Zn 2.2992 4.4294 4.4294
Rh 8.1623 5.2948 5.2948
Rh 5.2948 8.1623 5.2948
Rh 5.2948 5.2948 8.1623
Rh 8.1623 8.1623 8.1623

***

No. 2
8
Lattice="4.3991 0.0000 0.0000 0.0000 4.3991 0.0000 0.0000 0.0000 8.5495" Properties=species:S:1:pos:R:3 comment="SmMgHPb PBE-GGA relaxed" dos_at_fermi_per_ev_atom=0.369 space_group=P4/nmm e_tot_ev_per_cell=-30.24 m_tot_mub_per_cell=0.00 pbc="T T T"
Sm 1.0998 1.0998 1.0268
Sm 3.2994 3.2994 7.5228
Mg 1.0998 3.2994 4.2748
Mg 3.2994 1.0998 4.2748
H 1.0998 3.2994 0.0000
H 3.2994 1.0998 0.0000
Pb 1.0998 1.0998 6.2449
Pb 3.2994 3.2994 2.3047

***

No. 3
12
Lattice="-2.6851 2.6851 14.1559 2.6851 -2.6851 14.1559 2.6851 2.6851 -14.1559" Properties=species:S:1:pos:R:3 comment="Cs3Pd2Br7 PBE-GGA relaxed" dos_at_fermi_per_ev_atom=0.196 space_group=I4/mmm e_tot_ev_per_cell=-37.35 e_form_raw_ev_per_atom=-1.0578 m_tot_mub_per_cell=0.00 pbc="T T T"
Cs 0.0000 0.0000 0.0000
Cs 0.0000 0.0000 5.1309
Cs 0.0000 0.0000 23.1809
Pd 0.0000 0.0000 11.5199
Pd 0.0000 0.0000 16.7920
Br 2.6851 0.0000 2.6332
Br 0.0000 0.0000 8.8854
Br 2.6851 0.0000 11.5227
Br 0.0000 0.0000 14.1559
Br 0.0000 2.6851 2.6332
Br 0.0000 0.0000 19.4265
Br 0.0000 2.6851 11.5227

***

No. 4
6
Lattice="0.0000 3.8258 3.8258 3.8258 0.0000 3.8258 3.8258 3.8258 0.0000" Properties=species:S:1:pos:R:3 comment="CuAg4P PBE-GGA relaxed" dos_at_fermi_per_ev_atom=0.176 space_group=F-43m e_tot_ev_per_cell=-17.84 m_tot_mub_per_cell=0.00 pbc="T T T"
Cu 0.0000 0.0000 0.0000
Ag 2.8679 2.8679 2.8679
Ag 4.7837 4.7837 2.8679
Ag 4.7837 2.8679 4.7837
Ag 2.8679 4.7837 4.7837
P 5.7388 5.7388 5.7388

***

No. 5
16
Lattice="5.6238 0.0000 0.0000 0.0000 5.6407 0.0000 -2.8278 0.0000 10.8050" Properties=species:S:1:pos:R:3 comment="TbPuIr2 PBE-GGA relaxed" dos_at_fermi_per_ev_atom=2.102 space_group=P2/c e_tot_ev_per_cell=-156.71 m_tot_mub_per_cell=18.36 pbc="T T T"
Tb 0.6969 0.6959 1.5774
Tb -0.7170 4.9448 6.9799
Tb 3.5130 0.6959 3.8251
Tb 2.0991 4.9448 9.2277
Pu -0.7236 2.1263 9.2736
Pu 0.6903 3.5144 3.8711
Pu 2.1057 2.1263 6.9339
Pu 3.5196 3.5144 1.5314
Ir -0.7223 2.1318 6.4056
Ir 0.6916 3.5089 1.0031
Ir 0.6921 0.7258 4.4979
Ir -0.7218 4.9149 9.9004
Ir 3.5178 0.7258 0.9046
Ir 2.1039 4.9149 6.3071
Ir 2.1044 2.1318 9.8019
Ir 3.5183 3.5089 4.3994

***

No. 6
11
Lattice="-2.5544 3.7042 8.0695 2.5544 -3.7042 8.0695 2.5544 3.7042 -8.0695" Properties=species:S:1:pos:R:3 comment="Li4Ac3In4 PBE-GGA relaxed" dos_at_fermi_per_ev_atom=1.281 space_group=Immm e_tot_ev_per_cell=-34.34 m_tot_mub_per_cell=0.00 pbc="T T T"
Li 2.5544 -2.3066 5.3289
Li 0.0000 1.3977 2.7406
Li 2.5544 2.3066 5.3289
Li 0.0000 6.0108 2.7406
Ac 2.5544 0.0000 0.0000
Ac 0.0000 0.0000 5.9236
Ac 0.0000 0.0000 10.2154
In 2.5544 0.0000 3.4358
In 0.0000 2.2591 0.0000
In 0.0000 5.1493 0.0000
In 0.0000 3.7042 4.6337

***

No. 7
8
Lattice="3.7395 0.0000 0.0000 0.0000 3.7395 0.0000 0.0000 0.0000 7.8085" Properties=species:S:1:pos:R:3 comment="Co2RhCl PBE-GGA relaxed" dos_at_fermi_per_ev_atom=1.580 space_group=I4/mmm e_tot_ev_per_cell=-40.99 e_form_raw_ev_per_atom=0.7290 m_tot_mub_per_cell=9.17 pbc="T T T"
Co 0.0000 1.8697 1.9521
Co 0.0000 1.8697 5.8564
Co 1.8697 0.0000 1.9521
Co 1.8697 0.0000 5.8564
Rh 0.0000 0.0000 0.0000
Rh 1.8697 1.8697 3.9043
Cl 0.0000 0.0000 3.9043
Cl 1.8697 1.8697 0.0000

***

No. 8
16
Lattice="3.9419 0.0000 0.0000 0.0000 3.9419 0.0000 0.0000 0.0000 10.7006" Properties=species:S:1:pos:R:3 comment="Li2HO PBE-GGA relaxed" dos_at_fermi_per_ev_atom=0.147 space_group=I-42d e_tot_ev_per_cell=-59.31 m_tot_mub_per_cell=4.00 pbc="T T T"
Li 0.8542 0.9855 1.3376
Li 0.9855 2.8251 4.0127
Li 0.9855 3.0877 9.3630
Li 1.1167 0.9855 6.6879
Li 2.8251 2.9564 6.6879
Li 2.9564 0.8542 9.3630
Li 2.9564 1.1167 4.0127
Li 3.0877 2.9564 1.3376
H 0.0000 0.0000 5.3503
H 0.0000 1.9709 8.0255
H 1.9709 0.0000 2.6752
H 1.9709 1.9709 0.0000
O 0.0000 0.0000 0.0000
O 0.0000 1.9709 2.6752
O 1.9709 0.0000 8.0255
O 1.9709 1.9709 5.3503